Record 1
VASP calculation (GGA-PBE) on La6Dy3Tl after structural relaxation.

a = 8.917 Å, b = 8.917 Å, c = 8.917 Å
α = 88.24°, β = 88.24°, γ = 88.24°
Fractional positions:
1 Dy 0.756 0.252 0.120
2 Dy 0.120 0.756 0.252
3 Tl 0.500 0.500 0.500
4 La 0.603 0.148 0.496
5 La 0.385 0.055 0.149
6 La 0.852 0.504 0.397
7 La 0.055 0.149 0.385
8 La 0.496 0.603 0.148
9 Tl 0.000 0.000 0.000
10 La 0.945 0.851 0.615
11 Dy 0.748 0.880 0.244
12 Dy 0.252 0.120 0.756
13 La 0.149 0.385 0.055
14 La 0.851 0.615 0.945
15 La 0.397 0.852 0.504
16 La 0.504 0.397 0.852
17 La 0.615 0.945 0.851
18 La 0.148 0.496 0.603
19 Dy 0.880 0.244 0.748
20 Dy 0.244 0.748 0.880

Values from the calculation:
E_form, eV per atom: 0.08
Crystal system: trigonal
Density of states at the Fermi level, states/eV per atom: 1.84
Total energy, eV per cell: -89.87
Magnetization, μB/atom: 0.00


Record 2
VASP calculation (GGA-PBE) on Ti3AuN after structural relaxation.

a = 18.262 Å, b = 5.334 Å, c = 7.466 Å
α = 90.00°, β = 156.61°, γ = 90.00°
Fractional positions:
1 N 0.380 0.861 0.878
2 Au 0.919 0.747 0.918
3 Ti 0.843 0.247 0.843
4 Au 0.081 0.253 0.082
5 Ti 0.343 0.253 0.343
6 Ti 0.723 0.452 0.222
7 Ti 0.777 0.952 0.278
8 Ti 0.657 0.747 0.657
9 Ti 0.277 0.548 0.778
10 Ti 0.223 0.048 0.722
11 Ti 0.951 0.281 0.452
12 Au 0.581 0.247 0.582
13 Ti 0.451 0.219 0.952
14 N 0.620 0.139 0.122
15 Ti 0.049 0.719 0.548
16 Ti 0.157 0.753 0.157
17 N 0.880 0.639 0.378
18 Au 0.419 0.753 0.418
19 Ti 0.549 0.781 0.048
20 N 0.120 0.361 0.622

Values from the calculation:
Crystal system: monoclinic
Density of states at the Fermi level, states/eV per atom: 0.95
Total energy, eV per cell: -155.72
Magnetization, μB/atom: 0.00
Formation energy from raw total energies, eV per atom: -0.73


Record 3
VASP calculation (GGA-PBE) on KGaSbI2 after structural relaxation.

a = 6.148 Å, b = 6.148 Å, c = 5.440 Å
α = 90.00°, β = 90.00°, γ = 90.00°
Last column: magnetic moment on the atom in μB.
Fractional positions:
1 Sb 0.000 0.000 0.500  0.58
2 Ga 0.000 0.000 0.000  0.00
3 I 0.000 0.500 0.000  0.10
4 K 0.500 0.500 0.500  0.00
5 I 0.500 0.000 0.000  0.10

Values from the calculation:
Excess energy over the best structure of this formula in the dataset, meV/atom: 0.0
Crystal system: tetragonal
Density of states at the Fermi level, states/eV per atom: 0.30
Total energy, eV per cell: -13.07
Magnetization, μB/atom: 0.37
Formation energy from raw total energies, eV per atom: -0.34


Record 4
VASP calculation (GGA-PBE) on AcPmTe after structural relaxation.

a = 4.074 Å, b = 4.074 Å, c = 7.028 Å
α = 106.85°, β = 106.85°, γ = 90.00°
Fractional positions:
1 Pm 0.307 0.307 0.614
2 Te 0.684 0.684 0.368
3 Ac 0.009 0.009 0.019

Values from the calculation:
Excess energy over the best structure of this formula in the dataset, meV/atom: 25.5
Crystal system: tetragonal
Density of states at the Fermi level, states/eV per atom: 1.43
Total energy, eV per cell: -14.35
Magnetization, μB/atom: 0.00
Formation energy from raw total energies, eV per atom: -0.78


Record 5
VASP calculation (GGA-PBE) on Pr3IrRh after structural relaxation.

a = 4.598 Å, b = 8.978 Å, c = 8.116 Å
α = 62.96°, β = 73.55°, γ = 75.16°
Fractional positions:
1 Rh 0.637 0.207 0.519
2 Rh 0.363 0.793 0.481
3 Pr 0.272 0.165 0.291
4 Pr 0.376 0.458 0.790
5 Pr 0.728 0.835 0.709
6 Ir 0.843 0.278 0.036
7 Pr 0.051 0.135 0.764
8 Ir 0.157 0.722 0.964
9 Pr 0.624 0.542 0.210
10 Pr 0.949 0.865 0.236

Values from the calculation:
E_form, eV per atom: -0.52
Excess energy over the best structure of this formula in the dataset, meV/atom: 18.4
Crystal system: monoclinic
Density of states at the Fermi level, states/eV per atom: 0.63
Total energy, eV per cell: -66.28
Magnetization, μB/atom: 0.00


Record 6
VASP calculation (GGA-PBE) on Rb5Ge4Bi2 after structural relaxation.

a = 6.545 Å, b = 7.382 Å, c = 10.284 Å
α = 68.84°, β = 71.45°, γ = 63.69°
Fractional positions:
1 Ge 0.359 0.886 0.395
2 Rb 0.000 0.500 0.500
3 Rb 0.656 0.301 0.878
4 Rb 0.165 0.301 0.878
5 Bi 0.804 0.094 0.298
6 Rb 0.835 0.699 0.122
7 Ge 0.718 0.785 0.780
8 Rb 0.344 0.699 0.122
9 Ge 0.641 0.114 0.605
10 Bi 0.196 0.906 0.702
11 Ge 0.282 0.215 0.220

Values from the calculation:
E_form, eV per atom: 0.06
Crystal system: monoclinic
Density of states at the Fermi level, states/eV per atom: 0.38
Total energy, eV per cell: -30.43
Magnetization, μB/atom: 0.00


Record 7
VASP calculation (GGA-PBE) on Fe3PC after structural relaxation.

a = 3.697 Å, b = 3.697 Å, c = 3.697 Å
α = 90.00°, β = 90.00°, γ = 90.00°
Last column: magnetic moment on the atom in μB.
Fractional positions:
1 Fe 0.000 0.500 0.000  0.23
2 P 0.500 0.500 0.500  0.01
3 Fe 0.000 0.000 0.500  0.26
4 C 0.000 0.000 0.000  -0.01
5 Fe 0.500 0.000 0.000  0.21

Values from the calculation:
E_form, eV per atom: 0.19
Crystal system: cubic
Density of states at the Fermi level, states/eV per atom: 0.94
Total energy, eV per cell: -39.07
Magnetization, μB/atom: 0.14


Record 8
VASP calculation (GGA-PBE) on BaLiGe2Pt2 after structural relaxation.

a = 4.390 Å, b = 4.390 Å, c = 7.580 Å
α = 90.00°, β = 90.00°, γ = 120.00°
Fractional positions:
1 Pt 0.333 0.667 0.654
2 Ge 0.667 0.333 0.685
3 Pt 0.667 0.333 0.346
4 Ba 0.000 0.000 0.000
5 Ge 0.333 0.667 0.315
6 Li 0.000 0.000 0.500

Values from the calculation:
E_form, eV per atom: -0.77
Crystal system: trigonal
Density of states at the Fermi level, states/eV per atom: 0.47
Total energy, eV per cell: -29.77
Magnetization, μB/atom: 0.00


Record 9
VASP calculation (GGA-PBE) on Al2Cd5Au5 after structural relaxation.

a = 4.636 Å, b = 4.636 Å, c = 12.841 Å
α = 80.26°, β = 80.26°, γ = 60.33°
Fractional positions:
1 Cd 0.776 0.776 0.665
2 Cd 0.692 0.692 0.918
3 Cd 0.308 0.308 0.082
4 Cd 0.224 0.224 0.335
5 Cd 0.500 0.500 0.500
6 Au 0.398 0.398 0.800
7 Au 0.602 0.602 0.200
8 Al 0.069 0.069 0.785
9 Au 0.141 0.141 0.576
10 Au 0.859 0.859 0.424
11 Au 0.000 0.000 0.000
12 Al 0.931 0.931 0.215

Values from the calculation:
E_form, eV per atom: -0.20
Crystal system: monoclinic
Density of states at the Fermi level, states/eV per atom: 0.20
Total energy, eV per cell: -30.88
Magnetization, μB/atom: 0.00


Record 10
VASP calculation (GGA-PBE) on CaSi2Os after structural relaxation.

a = 3.187 Å, b = 4.254 Å, c = 6.124 Å
α = 90.37°, β = 105.01°, γ = 112.03°
Fractional positions:
1 Si 0.758 0.429 0.995
2 Si 0.150 0.538 0.667
3 Os 0.965 0.987 0.850
4 Ca 0.661 0.905 0.322

Values from the calculation:
Crystal system: monoclinic
Density of states at the Fermi level, states/eV per atom: 0.37
Total energy, eV per cell: -25.35
Magnetization, μB/atom: 0.00
Formation energy from raw total energies, eV per atom: -0.32


Record 11
VASP calculation (GGA-PBE) on TaZnIr after structural relaxation.

a = 4.779 Å, b = 4.779 Å, c = 4.779 Å
α = 145.11°, β = 131.29°, γ = 61.31°
Fractional positions:
1 Ta 0.334 0.334 0.000
2 Ir 0.003 0.003 0.000
3 Zn 0.664 0.664 0.000

Values from the calculation:
E_form, eV per atom: -0.33
Crystal system: orthorhombic
Density of states at the Fermi level, states/eV per atom: 0.51
Total energy, eV per cell: -22.98
Magnetization, μB/atom: 0.00


Record 12
VASP calculation (GGA-PBE) on Ba5TbTl6 after structural relaxation.

a = 5.946 Å, b = 8.311 Å, c = 10.368 Å
α = 66.38°, β = 73.19°, γ = 90.00°
Fractional positions:
1 Ba 0.340 0.340 0.320
2 Ba 0.686 0.186 0.628
3 Tl 0.152 0.934 0.698
4 Tl 0.500 0.795 0.000
5 Tl 0.848 0.066 0.302
6 Tl 0.152 0.368 0.698
7 Ba 0.660 0.660 0.680
8 Ba 0.000 0.500 0.000
9 Ba 0.314 0.814 0.372
10 Tb 0.000 0.000 0.000
11 Tl 0.848 0.632 0.302
12 Tl 0.500 0.205 0.000

Values from the calculation:
E_form, eV per atom: -0.38
Crystal system: monoclinic
Density of states at the Fermi level, states/eV per atom: 0.68
Total energy, eV per cell: -33.05
Magnetization, μB/atom: 0.00


Record 13
VASP calculation (GGA-PBE) on V4Ga5P after structural relaxation.

a = 3.564 Å, b = 6.365 Å, c = 7.121 Å
α = 102.06°, β = 104.49°, γ = 90.00°
Fractional positions:
1 V 0.024 0.238 0.048
2 Ga 0.848 0.331 0.696
3 Ga 0.209 0.300 0.418
4 Ga 0.152 0.669 0.304
5 Ga 0.500 0.500 0.000
6 P 0.500 0.000 0.000
7 V 0.669 0.984 0.338
8 Ga 0.791 0.700 0.582
9 V 0.976 0.762 0.952
10 V 0.331 0.016 0.662

Values from the calculation:
E_form, eV per atom: -0.19
Crystal system: monoclinic
Density of states at the Fermi level, states/eV per atom: 0.61
Total energy, eV per cell: -58.90
Magnetization, μB/atom: 0.00


Record 14
VASP calculation (GGA-PBE) on LiLa2YTe after structural relaxation.

a = 5.845 Å, b = 4.929 Å, c = 5.845 Å
α = 90.00°, β = 90.00°, γ = 90.00°
Fractional positions:
1 La 0.500 0.000 0.000
2 Te 0.500 0.500 0.500
3 Y 0.000 0.000 0.000
4 Li 0.000 0.500 0.000
5 La 0.000 0.000 0.500

Values from the calculation:
Crystal system: tetragonal
Density of states at the Fermi level, states/eV per atom: 1.25
Total energy, eV per cell: -19.37
Magnetization, μB/atom: 0.00
Formation energy from raw total energies, eV per atom: 0.40


Record 15
VASP calculation (GGA-PBE) on Pm2AsCl after structural relaxation.

a = 4.076 Å, b = 7.543 Å, c = 6.814 Å
α = 90.00°, β = 90.00°, γ = 90.00°
Fractional positions:
1 Pm 0.250 0.003 0.238
2 Pm 0.250 0.497 0.238
3 Pm 0.750 0.503 0.762
4 As 0.750 0.250 0.095
5 Pm 0.750 0.997 0.762
6 As 0.250 0.750 0.905
7 Cl 0.250 0.250 0.586
8 Cl 0.750 0.750 0.414

Values from the calculation:
Excess energy over the best structure of this formula in the dataset, meV/atom: 118.9
Crystal system: orthorhombic
Density of states at the Fermi level, states/eV per atom: 0.57
Total energy, eV per cell: -43.19
Magnetization, μB/atom: 0.00
Formation energy from raw total energies, eV per atom: -1.40


Record 16
VASP calculation (GGA-PBE) on SrHgSb after structural relaxation.

a = 6.152 Å, b = 6.152 Å, c = 6.152 Å
α = 143.88°, β = 137.51°, γ = 56.97°
Fractional positions:
1 Hg 0.992 0.992 0.000
2 Sb 0.342 0.342 0.000
3 Sr 0.666 0.666 0.000

Values from the calculation:
Excess energy over the best structure of this formula in the dataset, meV/atom: 142.4
Crystal system: orthorhombic
Density of states at the Fermi level, states/eV per atom: 0.41
Total energy, eV per cell: -7.64
Magnetization, μB/atom: 0.00
Formation energy from raw total energies, eV per atom: -0.51


Record 17
VASP calculation (GGA-PBE) on Zr7Hg2Bi2 after structural relaxation.

a = 7.176 Å, b = 5.673 Å, c = 7.176 Å
α = 75.56°, β = 103.00°, γ = 104.44°
Fractional positions:
1 Zr 0.389 0.276 0.952
2 Hg 0.201 0.500 0.201
3 Bi 0.243 0.819 0.757
4 Bi 0.757 0.181 0.243
5 Zr 0.952 0.724 0.389
6 Zr 0.611 0.724 0.048
7 Zr 0.508 0.262 0.492
8 Zr 0.000 0.000 0.000
9 Zr 0.048 0.276 0.611
10 Zr 0.492 0.738 0.508
11 Hg 0.799 0.500 0.799

Values from the calculation:
E_form, eV per atom: 0.12
Crystal system: monoclinic
Density of states at the Fermi level, states/eV per atom: 0.95
Total energy, eV per cell: -66.92
Magnetization, μB/atom: 0.00